No. 1
# Ac2Al4Si3Pt, relaxed, DFT PBE-GGA
# Energy relative to the elements, uncorrected: -12.0 kcal/mol of atoms
# Energy: -50.69 eV/cell
data_Ac2Al4Si3Pt
_space_group_name_H-M_alt 'P -4 m 2'
_space_group_IT_number 115
_cell_length_a 4.5621
_cell_length_b 4.5621
_cell_length_c 10.0307
_cell_angle_alpha 90.00
_cell_angle_beta 90.00
_cell_angle_gamma 90.00
loop_
_space_group_symop_operation_xyz
'x,y,z'
'y,-x,-z'
'-x,-y,z'
'-y,x,-z'
'-x,y,z'
'-y,-x,-z'
'x,-y,z'
'y,x,-z'
loop_
_atom_site_label
_atom_site_type_symbol
_atom_site_fract_x
_atom_site_fract_y
_atom_site_fract_z
Ac1 Ac 0.0000 0.5000 0.2432
Al1 Al 0.0000 0.0000 0.5000
Al2 Al 0.0000 0.5000 0.8834
Al3 Al 0.5000 0.5000 0.5000
Si1 Si 0.0000 0.0000 0.0000
Si2 Si 0.0000 0.5000 0.6236
Pt1 Pt 0.5000 0.5000 0.0000



No. 2
# ZnSb2S2, relaxed, DFT PBE-GGA
# Energy relative to the elements, uncorrected: 9.6 kcal/mol of atoms
# Energy: -31.37 eV/cell
data_ZnSb2S2
_space_group_name_H-M_alt 'I 4/m m m'
_space_group_IT_number 139
_space_group_name_Hall '-I 4 2'
_cell_length_a 4.4032
_cell_length_b 4.4032
_cell_length_c 12.9637
_cell_angle_alpha 90.00
_cell_angle_beta 90.00
_cell_angle_gamma 90.00
loop_
_atom_site_label
_atom_site_type_symbol
_atom_site_fract_x
_atom_site_fract_y
_atom_site_fract_z
Zn1 Zn 0.0000 0.0000 0.0000
Sb1 Sb 0.0000 0.5000 0.2500
S1 S 0.0000 0.0000 0.4209